# 1
{"formula": "Mn2FeHg", "functional": "PBE-GGA", "state": "optimized geometry", "lattice": [[-0.8553, 2.6360, -8.2202], [-2.7218, 0.5473, -8.2185], [-3.4694, 3.0944, -7.3240]], "species": ["Mn", "Fe", "Mn", "Hg"], "frac_coords": [[0.9887, 0.9887, 0.9887], [0.5114, 0.5114, 0.5114], [0.2491, 0.2491, 0.2491], [0.7508, 0.7508, 0.7508]], "space_group": "R3m, No. 160", "magnetic_moment_mub_per_cell": 5.7, "e_tot_ev_per_cell": -25.1, "dos_ef_per_ev_cell": 4.86, "e_form_ev_per_fu": 2.005}

# 2
{"formula": "MnFe3Hg", "functional": "PBE-GGA", "state": "optimized geometry", "lattice": [[4.2812, 0.0000, 0.0000], [0.0000, 4.2812, 0.0000], [0.0000, 0.0000, 4.2812]], "species": ["Hg", "Mn", "Fe", "Fe", "Fe"], "frac_coords": [[0.5000, 0.5000, 0.5000], [0.0000, 0.0000, 0.0000], [0.0000, 0.0000, 0.5000], [0.0000, 0.5000, 0.0000], [0.5000, 0.0000, 0.0000]], "space_group": "Pm-3m, No. 221", "magnetic_moment_mub_per_cell": 5.9, "e_tot_ev_per_cell": -29.5, "dos_ef_per_ev_cell": 7.17, "e_form_ev_per_fu": 5.376}

# 3
{"formula": "MnFe3Hg", "functional": "PBE-GGA", "state": "optimized geometry", "lattice": [[4.8026, 0.0000, 0.0000], [0.0000, 4.8026, 0.0000], [0.0000, 0.0000, 4.8026]], "species": ["Fe", "Fe", "Mn", "Fe", "Hg"], "frac_coords": [[0.5000, 0.0000, 0.0000], [0.0000, 0.5000, 0.0000], [0.5000, 0.5000, 0.5000], [0.0000, 0.0000, 0.5000], [0.0000, 0.0000, 0.0000]], "space_group": "Pm-3m, No. 221", "magnetic_moment_mub_per_cell": 13.5, "e_tot_ev_per_cell": -26.1, "dos_ef_per_ev_cell": 17.56, "e_form_ev_per_fu": 8.728}